Computed, not measured: crystalline SmErTmAl at its relaxed geometry at the GGA-PBE level of DFT.

The energy relative to the lowest polymorph listed for this composition comes out at 0.0000 eV per atom. For the energy of formation, the calculation gives -0.200 eV per atom. The electronic total energy is -4.5737 eV per atom.

Lattice parameters (Å, degrees): 3.502 3.502 8.969 90.00 90.00 90.00
Element x y z (fractional)
Al 0.000 0.000 0.570
Sm 0.000 0.000 0.072
Er 0.500 0.500 0.782
Tm 0.500 0.500 0.360

Computed, not measured: crystalline ReNiRhBr2 at its relaxed geometry at the GGA-PBE level of DFT.

For the energy relative to the elements, uncorrected, the calculation gives 1.57 eV/atom. The electronic total energy is -4.2121 eV per atom.

Lattice parameters (Å, degrees): 5.015 4.709 5.015 90.00 90.00 90.00
Each line ends with the local moment (μB).
Element x y z (fractional)
Re 0.500 0.500 0.500  4.08
Br 0.500 0.000 0.000  0.11
Br 0.000 0.000 0.500  0.10
Rh 0.000 0.000 0.000  0.45
Ni 0.000 0.500 0.000  0.89

Computed, not measured: crystalline Tl12Sb7Pb at its relaxed geometry at the GGA-PBE level of DFT.

For the energy relative to the elements, uncorrected, the calculation gives 0.03 eV/atom. The electronic total energy is -3.0187 eV per atom.

Lattice parameters (Å, degrees): 9.862 9.862 9.862 112.12 112.12 112.12
Element x y z (fractional)
Tl 0.557 0.143 0.442
Tl 0.999 0.686 0.193
Tl 0.001 0.314 0.807
Tl 0.857 0.558 0.443
Tl 0.686 0.193 0.999
Tl 0.558 0.443 0.857
Tl 0.443 0.857 0.558
Tl 0.143 0.442 0.557
Tl 0.193 0.999 0.686
Tl 0.807 0.001 0.314
Tl 0.314 0.807 0.001
Tl 0.442 0.557 0.143
Sb 0.869 0.573 0.783
Sb 0.783 0.869 0.573
Sb 0.131 0.427 0.217
Sb 0.573 0.783 0.869
Sb 0.500 0.500 0.500
Sb 0.427 0.217 0.131
Sb 0.217 0.131 0.427
Pb 0.000 0.000 0.000

Computed, not measured: crystalline La2CdPd at its relaxed geometry at the GGA-PBE level of DFT.

For the energy of formation, the calculation gives -0.442 eV per atom. The electronic total energy is -4.4329 eV per atom.

Lattice parameters (Å, degrees): 4.155 4.155 8.712 76.21 76.21 60.00
Element x y z (fractional)
Cd 0.500 0.500 0.500
La 0.263 0.263 0.210
La 0.737 0.737 0.790
Pd 0.000 0.000 0.000

Computed, not measured: crystalline CePmEr2Se4 at its relaxed geometry at the GGA-PBE level of DFT.

For the energy relative to the elements, uncorrected, the calculation gives -1.77 eV/atom. The electronic total energy is -5.9916 eV per atom.

Lattice parameters (Å, degrees): 4.066 7.260 7.070 71.21 90.00 90.00
Each line ends with the local moment (μB).
Element x y z (fractional)
Pm 0.000 0.500 0.500  0.03
Se 0.000 0.235 0.255  -0.01
Se 0.500 0.235 0.755  0.00
Se 0.000 0.765 0.745  -0.01
Se 0.500 0.765 0.245  0.00
Ce 0.500 0.500 0.000  0.81
Er 0.500 0.000 0.500  -0.01
Er 0.000 0.000 0.000  0.01

Computed, not measured: crystalline SI3O at its relaxed geometry at the GGA-PBE level of DFT.

For the energy relative to the elements, uncorrected, the calculation gives 0.85 eV/atom. The energy relative to the lowest polymorph listed for this composition comes out at 0.0000 eV per atom. The electronic total energy is -1.9000 eV per atom.

Lattice parameters (Å, degrees): 5.114 5.114 5.114 90.00 90.00 90.00
Each line ends with the local moment (μB).
Element x y z (fractional)
O 0.000 0.000 0.000  0.04
I 0.000 0.500 0.000  0.10
I 0.500 0.000 0.000  0.16
I 0.000 0.000 0.500  0.21
S 0.500 0.500 0.500  1.11

Computed, not measured: crystalline InGe2B at its relaxed geometry at the GGA-PBE level of DFT.

The energy relative to the lowest polymorph listed for this composition comes out at 0.0000 eV per atom. For the energy of formation, the calculation gives 0.373 eV per atom. The electronic total energy is -4.2895 eV per atom.

Lattice parameters (Å, degrees): 5.733 5.733 6.428 63.52 63.52 90.00
Element x y z (fractional)
Ge 0.531 0.125 0.250
Ge 0.875 0.781 0.750
Ge 0.375 0.469 0.750
Ge 0.219 0.625 0.250
B 0.500 0.500 0.000
B 0.250 0.750 0.500
In 0.000 0.000 0.000
In 0.750 0.250 0.500

Computed, not measured: crystalline La6ScTl at its relaxed geometry at the GGA-PBE level of DFT.

For the energy of formation, the calculation gives -0.089 eV per atom. The electronic total energy is -4.8717 eV per atom.

Lattice parameters (Å, degrees): 5.090 5.090 10.274 90.00 90.00 90.00
Element x y z (fractional)
La 0.500 0.000 0.250
La 0.000 0.500 0.250
La 0.500 0.500 0.500
La 0.500 0.500 0.000
La 0.500 0.000 0.750
La 0.000 0.500 0.750
Sc 0.000 0.000 0.500
Tl 0.000 0.000 0.000

Computed, not measured: crystalline HoSi2Au at its relaxed geometry at the GGA-PBE level of DFT.

For the energy relative to the elements, uncorrected, the calculation gives -0.35 eV/atom. The electronic total energy is -5.0280 eV per atom.

Lattice parameters (Å, degrees): 3.116 5.232 5.232 118.38 90.00 90.00
Element x y z (fractional)
Au 0.500 0.554 0.446
Si 0.500 0.554 0.946
Si 0.500 0.054 0.446
Ho 0.000 0.054 0.946

Computed, not measured: crystalline Rb2Ge2Sb3 at its relaxed geometry at the GGA-PBE level of DFT.

For the energy relative to the elements, uncorrected, the calculation gives -0.08 eV/atom. The electronic total energy is -3.4456 eV per atom.

Lattice parameters (Å, degrees): 6.989 10.819 6.725 90.00 68.78 90.00
Element x y z (fractional)
Sb 0.229 0.407 0.480
Sb 0.271 0.907 0.520
Sb 0.500 0.500 0.000
Sb 0.000 0.000 0.000
Sb 0.771 0.593 0.520
Sb 0.729 0.093 0.480
Ge 0.448 0.633 0.386
Ge 0.552 0.367 0.614
Ge 0.052 0.133 0.614
Ge 0.948 0.867 0.386
Rb 0.468 0.157 0.085
Rb 0.532 0.843 0.915
Rb 0.032 0.657 0.915
Rb 0.968 0.343 0.085

Computed, not measured: crystalline TaSi2Tc at its relaxed geometry at the GGA-PBE level of DFT.

For the energy relative to the elements, uncorrected, the calculation gives -0.16 eV/atom. The energy relative to the lowest polymorph listed for this composition comes out at 0.3355 eV per atom. The electronic total energy is -8.4228 eV per atom.

Lattice parameters (Å, degrees): 8.341 8.341 8.341 20.03 20.03 20.03
Element x y z (fractional)
Si 0.494 0.494 0.494
Si 0.006 0.006 0.006
Tc 0.750 0.750 0.750
Ta 0.250 0.250 0.250

Computed, not measured: crystalline Sm4GaSi3 at its relaxed geometry at the GGA-PBE level of DFT.

For the energy relative to the elements, uncorrected, the calculation gives -0.75 eV/atom. The electronic total energy is -5.5264 eV per atom.

Lattice parameters (Å, degrees): 4.403 3.961 10.922 90.00 90.00 90.00
Each line ends with the local moment (μB).
Element x y z (fractional)
Sm 0.500 0.000 0.640  -0.04
Sm 0.000 0.000 0.142  0.05
Sm 0.000 0.500 0.857  -0.03
Sm 0.500 0.500 0.362  0.06
Si 0.500 0.000 0.924  0.00
Si 0.000 0.500 0.573  0.00
Si 0.000 0.000 0.429  0.00
Ga 0.500 0.500 0.073  0.00